Entry 1:
## CrRhAu2 (PBE-GGA)

Data for CrRhAu2 after structural relaxation.

Unit cell a=9.3099 b=2.9699 c=4.8287 alpha=90.00 beta=103.95 gamma=90.00
Space group Cm (No. 8)
One atom of each set of equivalent atoms:
Cr 0.0000 0.0000 0.0000
Rh 0.2277 0.5000 0.2158
Au 0.2483 0.0000 0.7368
Au 0.4868 0.0000 0.4808

Values from the calculation:
ΔE_f (eV per atom): 0.127

---

Entry 2:
## KSi2TeS (PBE-GGA)

Data for KSi2TeS after structural relaxation.

Unit cell a=4.9969 b=4.9969 c=5.4018 alpha=90.00 beta=90.00 gamma=90.00
Space group P4/mmm (No. 123)
One atom of each set of equivalent atoms:
K 0.0000 0.0000 0.0000
Si 0.0000 0.5000 0.5000
Te 0.5000 0.5000 0.0000
S 0.5000 0.5000 0.5000

Values from the calculation:
E_form (uncorrected) (kcal/mol of atoms): 10.66

---

Results for spin magnetization: 0.77, 0.00 (in μB/atom, following the order of the records).
Results for total energy: -5.755, -3.380 (in eV per atom, following the order of the records).